a.
Computed, not measured: a geometry-optimized AcCN structure at the GGA-PBE level of DFT.

Lattice parameters (Å, degrees): 7.4689 7.4783 4.3922 85.31 71.55 30.51
Fractional coordinates of all 6 atoms:
1 Ac 0.9269 0.5752 0.8483
2 C 0.4414 0.2976 0.0588
3 C 0.3989 0.4579 0.2520
4 Ac 0.9134 0.1803 0.4625
5 N 0.3058 0.9442 0.8362
6 N 0.5345 0.8113 0.4746

Calculated values
Space-group type = No. 2

b.
Computed, not measured: a geometry-optimized AcCN structure at the GGA-PBE level of DFT.

Lattice parameters (Å, degrees): 3.8201 3.7105 3.7105 120.00 90.00 90.00
Fractional coordinates of all 3 atoms:
1 Ac 0.6667 0.6667 0.3333
2 C 0.1837 0.3333 0.6667
3 N 0.1496 0.0000 0.0000

Calculated values
Space-group type = No. 156

c.
Computed, not measured: a geometry-optimized AcCN structure at the GGA-PBE level of DFT.

Lattice parameters (Å, degrees): 3.2295 5.6869 9.9972 90.00 90.00 90.00
Fractional coordinates of all 12 atoms:
1 C 0.7500 0.7593 0.8984
2 C 0.2500 0.7407 0.3984
3 C 0.7500 0.2593 0.6016
4 N 0.7500 0.8570 0.3543
5 Ac 0.2500 0.7324 0.1201
6 Ac 0.2500 0.2324 0.3799
7 C 0.2500 0.2407 0.1016
8 Ac 0.7500 0.2676 0.8799
9 N 0.7500 0.3570 0.1457
10 N 0.2500 0.6430 0.8543
11 N 0.2500 0.1430 0.6457
12 Ac 0.7500 0.7676 0.6201

Calculated values
Space-group type = No. 62

d.
Computed, not measured: a geometry-optimized AcCN structure at the GGA-PBE level of DFT.

Lattice parameters (Å, degrees): 4.0089 4.0089 4.3351 117.54 117.54 90.00
Fractional coordinates of all 3 atoms:
1 N 0.0194 0.0194 0.0387
2 Ac 0.6175 0.6175 0.2349
3 C 0.2132 0.2132 0.4263

Calculated values
Space-group type = No. 107

Of them, b has the lowest stability.

a.
Computed, not measured: a geometry-optimized AcCN2 structure at the GGA-PBE level of DFT.

Lattice parameters (Å, degrees): 4.0871 5.2880 12.6449 90.00 90.00 90.00
Fractional coordinates of all 16 atoms:
1 N 0.7500 0.0006 0.3083
2 N 0.2500 0.9994 0.6917
3 N 0.2500 0.1010 0.0896
4 C 0.7500 0.6670 0.8815
5 Ac 0.2500 0.2819 0.3846
6 Ac 0.7500 0.7819 0.1154
7 N 0.7500 0.8990 0.9104
8 C 0.2500 0.1670 0.6185
9 Ac 0.7500 0.7181 0.6154
10 N 0.7500 0.6010 0.4104
11 N 0.2500 0.5006 0.1917
12 C 0.2500 0.3330 0.1185
13 Ac 0.2500 0.2181 0.8846
14 N 0.2500 0.3990 0.5896
15 C 0.7500 0.8330 0.3815
16 N 0.7500 0.4994 0.8083

Calculated values
Space-group type = No. 62

b.
Computed, not measured: a geometry-optimized AcCN2 structure at the GGA-PBE level of DFT.

Lattice parameters (Å, degrees): 3.8785 3.8785 6.0460 71.29 71.29 60.00
Fractional coordinates of all 4 atoms:
1 N 0.9264 0.9264 0.2207
2 C 0.0000 0.0000 0.0000
3 Ac 0.5000 0.5000 0.5000
4 N 0.0736 0.0736 0.7793

Calculated values
Space-group type = No. 166

Of them, b has the lowest stability.

a.
Computed, not measured: a geometry-optimized AcCO4 structure at the GGA-PBE level of DFT.

Lattice parameters (Å, degrees): 3.9342 5.2391 9.2963 90.00 102.22 90.00
Site moments in Bohr magnetons follow the coordinates.
Fractional coordinates of all 12 atoms:
1 O 0.8280 0.4743 0.6559  0.00
2 O 0.1720 0.9743 0.3441  0.00
3 O 0.0000 0.0000 0.0000  0.52
4 O 0.1720 0.5257 0.3441  0.00
5 Ac 0.5611 0.2500 0.1221  -0.03
6 Ac 0.4389 0.7500 0.8779  -0.03
7 O 0.4255 0.2500 0.8510  0.36
8 O 0.5745 0.7500 0.1490  0.36
9 O 0.8280 0.0257 0.6559  0.00
10 C 0.1635 0.7500 0.3270  0.00
11 C 0.8365 0.2500 0.6730  0.00
12 O 0.0000 0.5000 0.0000  0.52

Calculated values
Space-group type = No. 63

b.
Computed, not measured: a geometry-optimized AcCO4 structure at the GGA-PBE level of DFT.

Lattice parameters (Å, degrees): 6.4665 6.8226 7.0401 90.00 90.00 100.42
Site moments in Bohr magnetons follow the coordinates.
Fractional coordinates of all 24 atoms:
1 O 0.2475 0.5231 0.6224  0.17
2 O 0.5302 0.6095 0.8188  0.05
3 O 0.0302 0.1095 0.6812  0.05
4 O 0.2525 0.9769 0.1224  0.17
5 Ac 0.0863 0.2796 0.3382  0.00
6 O 0.9698 0.8905 0.3188  0.05
7 O 0.5380 0.7546 0.5257  0.35
8 Ac 0.5863 0.7796 0.1618  0.00
9 O 0.3235 0.8397 0.7349  0.32
10 O 0.7475 0.0231 0.8776  0.17
11 C 0.5916 0.3231 0.3232  -0.02
12 Ac 0.9137 0.7204 0.6618  0.00
13 O 0.4698 0.3905 0.1812  0.05
14 O 0.6765 0.1603 0.2651  0.32
15 O 0.7525 0.4769 0.3776  0.17
16 C 0.9084 0.1769 0.8232  -0.02
17 O 0.1765 0.6603 0.2349  0.32
18 O 0.8235 0.3397 0.7651  0.32
19 O 0.4620 0.2454 0.4743  0.35
20 C 0.0916 0.8231 0.1768  -0.02
21 O 0.9620 0.7454 0.0257  0.35
22 O 0.0380 0.2546 0.9743  0.35
23 Ac 0.4137 0.2204 0.8382  0.00
24 C 0.4084 0.6769 0.6768  -0.02

Calculated values
Space-group type = No. 14

Of them, a has the lowest stability.

a.
Computed, not measured: a geometry-optimized Ac2PC structure at the GGA-PBE level of DFT.

Lattice parameters (Å, degrees): 3.6385 5.1135 5.1135 90.00 90.00 90.00
Site moments in Bohr magnetons follow the coordinates.
Fractional coordinates of all 4 atoms:
1 C 0.5000 0.0000 0.0000  0.43
2 Ac 0.0000 0.5000 0.0000  0.02
3 P 0.5000 0.5000 0.5000  0.07
4 Ac 0.0000 0.0000 0.5000  0.02

Calculated values
Space-group type = No. 123

b.
Computed, not measured: a geometry-optimized Ac2PC structure at the GGA-PBE level of DFT.

Lattice parameters (Å, degrees): 4.2283 4.2283 7.3865 73.37 73.37 60.00
Site moments in Bohr magnetons follow the coordinates.
Fractional coordinates of all 4 atoms:
1 C 0.5000 0.5000 0.5000  0.30
2 Ac 0.7582 0.7582 0.7255  0.05
3 P 0.0000 0.0000 0.0000  0.06
4 Ac 0.2418 0.2418 0.2745  0.05

Calculated values
Space-group type = No. 166

Of them, a has the lowest stability.

a.
Computed, not measured: a geometry-optimized AcPaC2 structure at the GGA-PBE level of DFT.

Lattice parameters (Å, degrees): 3.6725 3.6719 6.5243 90.06 90.00 120.01
Fractional coordinates of all 4 atoms:
1 Ac 0.0000 0.5000 0.5000
2 C 0.3333 0.1666 0.1965
3 Pa 0.0000 0.5000 0.0000
4 C 0.6667 0.8334 0.8035

Calculated values
Space-group type = No. 164

b.
Computed, not measured: a geometry-optimized AcPaC2 structure at the GGA-PBE level of DFT.

Lattice parameters (Å, degrees): 3.7531 3.7531 6.6515 73.61 73.61 60.00
Fractional coordinates of all 4 atoms:
1 Ac 0.5000 0.5000 0.5000
2 C 0.7323 0.7323 0.8032
3 C 0.2677 0.2677 0.1968
4 Pa 0.0000 0.0000 0.0000

Calculated values
Space-group type = No. 166

c.
Computed, not measured: a geometry-optimized AcPaC2 structure at the GGA-PBE level of DFT.

Lattice parameters (Å, degrees): 3.7142 3.7142 6.6986 73.90 73.90 60.00
Fractional coordinates of all 4 atoms:
1 Pa 0.6651 0.6651 0.0046
2 C 0.2686 0.2686 0.1941
3 C 0.0682 0.0682 0.7954
4 Ac 0.4980 0.4980 0.5059

Calculated values
Space-group type = No. 160

Of them, a has the lowest stability.

a.
Computed, not measured: a geometry-optimized AcPa2C structure at the GGA-PBE level of DFT.

Lattice parameters (Å, degrees): 3.2626 3.2626 8.6636 90.00 90.00 90.00
Fractional coordinates of all 4 atoms:
1 Ac 0.5000 0.5000 0.5000
2 Pa 0.0000 0.0000 0.8411
3 Pa 0.0000 0.0000 0.1589
4 C 0.5000 0.5000 0.0000

Calculated values
Space-group type = No. 123

b.
Computed, not measured: a geometry-optimized AcPa2C structure at the GGA-PBE level of DFT.

Lattice parameters (Å, degrees): 3.4444 3.4444 10.0182 80.10 80.10 60.00
Fractional coordinates of all 4 atoms:
1 C 0.5000 0.5000 0.5000
2 Pa 0.8821 0.8821 0.3537
3 Ac 0.0000 0.0000 0.0000
4 Pa 0.1179 0.1179 0.6463

Calculated values
Space-group type = No. 166

Of them, a has the lowest stability.